(1)
{
  "formula": "Gd2LuGe",
  "functional": "GGA-PBE",
  "state": "relaxed",
  "e_form_ev_per_atom": -0.336,
  "rho_g_cm3": 9.141,
  "dos_ef_per_ev_atom": 1.269,
  "lattice": [[4.701, 0.000, 0.000], [0.000, 4.661, 0.000], [0.000, 0.000, 4.661]],
  "species": ["Gd", "Gd", "Ge", "Lu"],
  "frac_coords": [[0.000, 0.000, 0.500], [0.000, 0.500, 0.000], [0.500, 0.500, 0.500], [0.500, 0.000, 0.000]]
}

(2)
{
  "formula": "GdLuGePd",
  "functional": "GGA-PBE",
  "state": "relaxed",
  "e_form_ev_per_atom": -0.806,
  "rho_g_cm3": 9.700,
  "dos_ef_per_ev_atom": 0.555,
  "lattice": [[-4.188, 2.071, 1.735], [-3.916, 0.609, -3.022], [-4.085, -2.786, 0.623]],
  "species": ["Gd", "Ge", "Lu", "Pd"],
  "frac_coords": [[0.500, 0.500, 0.500], [0.250, 0.250, 0.250], [0.000, 0.000, 0.000], [0.750, 0.750, 0.750]]
}

(3)
{
  "formula": "GdLuGePt",
  "functional": "GGA-PBE",
  "state": "relaxed",
  "e_form_ev_per_atom": -0.940,
  "rho_g_cm3": 11.371,
  "dos_ef_per_ev_atom": 0.283,
  "lattice": [[-0.668, -4.937, -0.194], [2.511, -2.727, -3.334], [3.627, -3.068, 1.513]],
  "species": ["Gd", "Ge", "Lu", "Pt"],
  "frac_coords": [[0.500, 0.500, 0.500], [0.250, 0.250, 0.250], [0.000, 0.000, 0.000], [0.750, 0.750, 0.750]]
}

(4)
{
  "formula": "GdLuGeRh",
  "functional": "GGA-PBE",
  "state": "relaxed",
  "e_form_ev_per_atom": -0.734,
  "rho_g_cm3": 9.985,
  "dos_ef_per_ev_atom": 0.559,
  "lattice": [[-0.837, -3.872, 2.926], [3.784, -2.545, 1.859], [1.029, 0.278, 4.808]],
  "species": ["Gd", "Ge", "Lu", "Rh"],
  "frac_coords": [[0.500, 0.500, 0.500], [0.250, 0.250, 0.250], [0.000, 0.000, 0.000], [0.750, 0.750, 0.750]]
}

(5)
{
  "formula": "GdMgGe",
  "functional": "GGA-PBE",
  "state": "relaxed",
  "e_form_ev_per_atom": -0.480,
  "rho_g_cm3": 5.636,
  "dos_ef_per_ev_atom": 0.890,
  "lattice": [[4.731, 0.000, 0.000], [2.366, 4.097, 0.000], [2.366, 1.366, 3.863]],
  "species": ["Ge", "Gd", "Mg"],
  "frac_coords": [[0.250, 0.250, 0.250], [0.000, 0.000, 0.000], [0.500, 0.500, 0.500]]
}

(6)
{
  "formula": "GdMg2Ge",
  "functional": "GGA-PBE",
  "state": "relaxed",
  "e_form_ev_per_atom": -0.379,
  "rho_g_cm3": 5.159,
  "dos_ef_per_ev_atom": 0.485,
  "lattice": [[4.777, 0.000, 0.000], [0.000, 4.332, 0.000], [0.000, 0.000, 4.332]],
  "species": ["Ge", "Gd", "Mg", "Mg"],
  "frac_coords": [[0.500, 0.500, 0.500], [0.500, 0.000, 0.000], [0.000, 0.000, 0.500], [0.000, 0.500, 0.000]]
}

Respective magnetization values: 15.114, 7.122, 7.008, 7.008, 7.100, 7.099 μB per cell.